Density functional theory data (PBE) for a relaxed Sc3SiH2 crystal.

Calculated values
calculated total energy: -68.237 eV/cell
space-group type: C2/m

Cell lengths 10.2676, 10.2676, 5.4939 Å; angles 103.64, 103.64, 19.26 degrees
With the nearest neighbours (Å) after each atom.
Sites, in units of the cell vectors:
Sc  0.0452  0.0452  0.2796  2 H 2.05-2.10
Sc  0.2319  0.2319  0.2297  3 H 2.01-2.09
Sc  0.3960  0.3960  0.1444  3 H 2.04-2.07
Sc  0.6040  0.6040  0.8556  3 H 2.04-2.07
Sc  0.7681  0.7681  0.7703  3 H 2.01-2.09
Sc  0.9548  0.9548  0.7204  2 H 2.05-2.10
Si  0.3502  0.3502  0.5910  7 Sc 2.69-2.96, 1 H 2.72
Si  0.6498  0.6498  0.4090  7 Sc 2.69-2.96, 1 H 2.72
H  0.0553  0.0553  0.9085  4 Sc 2.04-2.10
H  0.2923  0.2923  0.9890  4 Sc 2.01-2.09
H  0.7077  0.7077  0.0110  4 Sc 2.01-2.09
H  0.9447  0.9447  0.0915  4 Sc 2.04-2.10



Density functional theory data (PBE) for a relaxed TbHo2Tm9 crystal.

Calculated values
formation enthalpy at 0 K: 26 meV per atom
E above lowest polymorph: 0.0 kJ/mol of atoms
space-group type: P4/mmm

Cell lengths 4.9417, 4.9417, 14.8181 Å; angles 90.00, 90.00, 90.00 degrees
With the nearest neighbours (Å) after each atom.
Sites, in units of the cell vectors:
Tb  0.0000  0.0000  0.0000  12 Tm 3.49-3.50
Ho  0.0000  0.0000  0.3334  12 Tm 3.49
Ho  0.0000  0.0000  0.6666  12 Tm 3.49
Tm  0.0000  0.5000  0.1671  2 Ho 3.49, 8 Tm 3.49-3.50, 2 Tb 3.50
Tm  0.0000  0.5000  0.5000  8 Tm 3.49, 4 Ho 3.49
Tm  0.0000  0.5000  0.8329  2 Ho 3.49, 8 Tm 3.49-3.50, 2 Tb 3.50
Tm  0.5000  0.0000  0.1671  2 Ho 3.49, 8 Tm 3.49-3.50, 2 Tb 3.50
Tm  0.5000  0.0000  0.5000  8 Tm 3.49, 4 Ho 3.49
Tm  0.5000  0.0000  0.8329  2 Ho 3.49, 8 Tm 3.49-3.50, 2 Tb 3.50
Tm  0.5000  0.5000  0.0000  4 Tb 3.49, 8 Tm 3.50
Tm  0.5000  0.5000  0.3337  8 Tm 3.49, 4 Ho 3.49
Tm  0.5000  0.5000  0.6663  8 Tm 3.49, 4 Ho 3.49



Density functional theory data (PBE) for a relaxed Pm2CdFeC crystal.

Calculated values
formation enthalpy at 0 K: -217 meV per atom
space-group type: P4/mmm

Cell lengths 5.2450, 5.2450, 3.7212 Å; angles 90.00, 90.00, 90.00 degrees
With the nearest neighbours (Å) after each atom.
Sites, in units of the cell vectors:
Pm  0.0000  0.5000  0.0000  2 C 2.62
Pm  0.5000  0.0000  0.0000  2 C 2.62
Cd  0.0000  0.0000  0.5000  8 Pm 3.22
Fe  0.5000  0.5000  0.5000  2 C 1.86
C  0.5000  0.5000  0.0000  2 Fe 1.86



Density functional theory data (PBE) for a relaxed TaTi2Cu crystal.

Calculated values
formation enthalpy at 0 K: -12 meV per atom
E above lowest polymorph: 0.0 kJ/mol of atoms
space-group type: P4/mmm

Cell lengths 3.1925, 3.1925, 6.3326 Å; angles 90.00, 90.00, 90.00 degrees
With the nearest neighbours (Å) after each atom.
Sites, in units of the cell vectors:
Ta  0.0000  0.0000  0.0000  8 Ti 2.78
Ti  0.5000  0.5000  0.2562  4 Cu 2.73, 4 Ta 2.78
Ti  0.5000  0.5000  0.7438  4 Cu 2.73, 4 Ta 2.78
Cu  0.0000  0.0000  0.5000  8 Ti 2.73



Density functional theory data (PBE) for a relaxed La8FeNi3I4 crystal.

Calculated values
energy relative to the elements, uncorrected: -0.69 eV per atom
space-group type: C2/m

Cell lengths 8.3830, 8.3830, 9.5424 Å; angles 116.11, 116.11, 59.45 degrees
With the nearest neighbours (Å) after each atom.
Sites, in units of the cell vectors:
La  0.2235  0.7405  0.6835  1 Fe 2.76, 2 Ni 2.87-2.91
La  0.2254  0.2254  0.6847  1 Fe 2.83, 2 Ni 2.86
La  0.2595  0.7765  0.3165  1 Fe 2.76, 2 Ni 2.87-2.91
La  0.2713  0.2713  0.3174  3 Ni 2.83-2.87
La  0.7287  0.7287  0.6826  3 Ni 2.83-2.87
La  0.7405  0.2235  0.6835  1 Fe 2.76, 2 Ni 2.87-2.91
La  0.7746  0.7746  0.3153  1 Fe 2.83, 2 Ni 2.86
La  0.7765  0.2595  0.3165  1 Fe 2.76, 2 Ni 2.87-2.91
Fe  0.0000  0.0000  0.5000  6 La 2.76-2.83
Ni  0.0000  0.5000  0.5000  6 La 2.83-2.91
Ni  0.5000  0.0000  0.5000  6 La 2.83-2.91
Ni  0.5000  0.5000  0.5000  6 La 2.87
I  0.0000  0.0000  0.0000  6 La 3.52-3.56
I  0.0000  0.5000  0.0000  6 La 3.52-3.55
I  0.5000  0.0000  0.0000  6 La 3.52-3.55
I  0.5000  0.5000  0.0000  6 La 3.58-3.61



Density functional theory data (PBE) for a relaxed CsSr3Pd crystal.

Calculated values
formation enthalpy at 0 K: 391 meV per atom
E above lowest polymorph: 60.9 kJ/mol of atoms
space-group type: R3m

Cell lengths 9.6853, 9.6853, 9.6853 Å; angles 49.78, 49.78, 49.78 degrees
With the nearest neighbours (Å) after each atom.
Sites, in units of the cell vectors:
Cs  0.0000  0.0000  0.0000  6 Sr 4.75-4.94, 3 Pd 5.21
Sr  0.5088  0.9855  0.9855  1 Pd 2.90
Sr  0.9855  0.5088  0.9855  1 Pd 2.90
Sr  0.9855  0.9855  0.5088  1 Pd 2.90
Pd  0.7543  0.7543  0.7543  3 Sr 2.90



Density functional theory data (PBE) for a relaxed TlCuW2 crystal.

Calculated values
formation enthalpy at 0 K: 860 meV per atom
E above lowest polymorph: 30.0 kJ/mol of atoms
space-group type: P4/mmm

Cell lengths 3.2648, 3.2648, 6.4913 Å; angles 90.00, 90.00, 90.00 degrees
With the nearest neighbours (Å) after each atom.
Sites, in units of the cell vectors:
Tl  0.0000  0.0000  0.0000  8 W 3.07, 2 Cu 3.25, 4 Tl 3.26
Cu  0.0000  0.0000  0.5000  8 W 2.61
W  0.5000  0.5000  0.3108  1 W 2.46, 4 Cu 2.61
W  0.5000  0.5000  0.6892  1 W 2.46, 4 Cu 2.61



Density functional theory data (PBE) for a relaxed Li2AsRu crystal.

Calculated values
formation enthalpy at 0 K: -222 meV per atom
space-group type: Pmmm

Cell lengths 3.1995, 3.9905, 4.2789 Å; angles 90.00, 90.00, 90.00 degrees
With the nearest neighbours (Å) after each atom.
Sites, in units of the cell vectors:
Li  0.0000  0.0000  0.0000  4 Li 2.56, 4 Ru 2.67
Li  0.5000  0.5000  0.0000  4 Li 2.56, 4 As 2.67
As  0.0000  0.5000  0.5000  4 Ru 2.56, 4 Li 2.67
Ru  0.5000  0.0000  0.5000  4 As 2.56, 4 Li 2.67



Please write out number 7 again, unchanged.
Density functional theory data (PBE) for a relaxed TlCuW2 crystal.

Calculated values
formation enthalpy at 0 K: 860 meV per atom
E above lowest polymorph: 30.0 kJ/mol of atoms
space-group type: P4/mmm

Cell lengths 3.2648, 3.2648, 6.4913 Å; angles 90.00, 90.00, 90.00 degrees
With the nearest neighbours (Å) after each atom.
Sites, in units of the cell vectors:
Tl  0.0000  0.0000  0.0000  8 W 3.07, 2 Cu 3.25, 4 Tl 3.26
Cu  0.0000  0.0000  0.5000  8 W 2.61
W  0.5000  0.5000  0.3108  1 W 2.46, 4 Cu 2.61
W  0.5000  0.5000  0.6892  1 W 2.46, 4 Cu 2.61



What did the seventh record say?
Density functional theory data (PBE) for a relaxed TlCuW2 crystal.

Calculated values
formation enthalpy at 0 K: 860 meV per atom
E above lowest polymorph: 30.0 kJ/mol of atoms
space-group type: P4/mmm

Cell lengths 3.2648, 3.2648, 6.4913 Å; angles 90.00, 90.00, 90.00 degrees
With the nearest neighbours (Å) after each atom.
Sites, in units of the cell vectors:
Tl  0.0000  0.0000  0.0000  8 W 3.07, 2 Cu 3.25, 4 Tl 3.26
Cu  0.0000  0.0000  0.5000  8 W 2.61
W  0.5000  0.5000  0.3108  1 W 2.46, 4 Cu 2.61
W  0.5000  0.5000  0.6892  1 W 2.46, 4 Cu 2.61